one:
VASP calculation (PBE) on a relaxed structure of SrMo3Pb.

Lattice parameters (Å, degrees): 5.1480 5.1480 5.1480 90.00 90.00 90.00
Positions (direct):
Mo1 0.0000 0.0000 0.5000
Mo2 0.0000 0.5000 0.0000
Pb1 0.0000 0.0000 0.0000
Mo3 0.5000 0.0000 0.0000
Sr1 0.5000 0.5000 0.5000

Computed properties:
SG   Pm-3m
V   136 Å³ per cell


two:
VASP calculation (PBE) on a relaxed structure of SrMo3Pb.

Lattice parameters (Å, degrees): 4.9130 4.9130 4.9130 90.00 90.00 90.00
Site moments in Bohr magnetons follow the coordinates.
Positions (direct):
Sr1 0.0000 0.0000 0.0000  0.06
Mo1 0.0000 0.5000 0.0000  0.72
Mo2 0.0000 0.0000 0.5000  0.93
Mo3 0.5000 0.0000 0.0000  0.86
Pb1 0.5000 0.5000 0.5000  0.01

Computed properties:
SG   Pm-3m
V   119 Å³ per cell


Which one is most stable, and which one is least stable? one is the most stable of them, while two is the least stable.


one:
VASP calculation (PBE) on a relaxed structure of TaMoPb2.

Lattice parameters (Å, degrees): 5.2104 5.2104 5.0541 83.22 83.22 38.75
Positions (direct):
Pb1 0.5035 0.5035 0.4957
Mo1 0.2500 0.2500 0.2500
Ta1 0.7500 0.7500 0.7500
Pb2 0.9965 0.9965 0.0043

Computed properties:
SG   C2/m
V   85 Å³ per cell


two:
VASP calculation (PBE) on a relaxed structure of TaMoPb2.

Lattice parameters (Å, degrees): 3.1376 3.1376 9.2341 90.00 90.00 111.43
Positions (direct):
Mo1 0.5000 0.5000 0.7500
Pb1 0.0000 0.0000 0.5069
Pb2 0.0000 0.0000 0.9931
Ta1 0.5000 0.5000 0.2500

Computed properties:
SG   Cmmm
V   85 Å³ per cell


three:
VASP calculation (PBE) on a relaxed structure of TaMoPb2.

Lattice parameters (Å, degrees): 3.3964 3.3488 10.1312 58.93 90.00 90.00
Positions (direct):
Mo1 0.5000 0.7608 0.6982
Pb1 0.0000 0.8968 0.9309
Ta1 0.0000 0.4801 0.5577
Pb2 0.5000 0.3623 0.3132

Computed properties:
SG   Pm
V   99 Å³ per cell


Which one is most stable, and which one is least stable? three is the most stable of them, while two is the least stable.


one:
VASP calculation (PBE) on a relaxed structure of TaMoPb2.

Lattice parameters (Å, degrees): 3.5340 5.1293 4.6584 90.00 90.00 90.00
Positions (direct):
Pb1 0.5000 0.5000 0.0000
Ta1 0.5000 0.0000 0.5000
Mo1 0.0000 0.5000 0.5000
Pb2 0.0000 0.0000 0.0000

Computed properties:
SG   Pmmm
V   84 Å³ per cell


two:
VASP calculation (PBE) on a relaxed structure of TaMoPb2.

Lattice parameters (Å, degrees): 4.8739 4.8739 4.8739 60.00 60.00 60.00
Positions (direct):
Pb1 0.2500 0.2500 0.2500
Ta1 0.5000 0.5000 0.5000
Mo1 0.0000 0.0000 0.0000
Pb2 0.7500 0.7500 0.7500

Computed properties:
SG   Fm-3m
V   82 Å³ per cell


three:
VASP calculation (PBE) on a relaxed structure of TaMoPb2.

Lattice parameters (Å, degrees): 6.7239 6.7239 6.7239 152.42 137.65 51.29
Positions (direct):
Pb1 0.7522 0.2522 0.5000
Pb2 0.0313 0.0313 0.0000
Ta1 0.4403 0.4403 0.0000
Mo1 0.2761 0.7761 0.5000

Computed properties:
SG   Imm2
V   94 Å³ per cell


four:
VASP calculation (PBE) on a relaxed structure of TaMoPb2.

Lattice parameters (Å, degrees): 5.4775 5.4775 5.4775 134.03 134.03 67.04
Site moments in Bohr magnetons follow the coordinates.
Positions (direct):
Ta1 0.5000 0.5000 0.0000  -0.04
Pb1 0.0000 0.0000 0.0000  0.00
Mo1 0.7500 0.2500 0.5000  0.23
Pb2 0.2500 0.7500 0.5000  0.00

Computed properties:
SG   I-4m2
V   84 Å³ per cell


Which one is most stable, and which one is least stable? three is the most stable of them, while four is the least stable.


one:
VASP calculation (PBE) on a relaxed structure of TaMoPb2.

Lattice parameters (Å, degrees): 3.1065 3.1065 10.6601 90.00 90.00 112.01
Positions (direct):
Mo1 0.5000 0.5000 0.7193
Ta1 0.0000 0.0000 0.5379
Pb1 0.0000 0.0000 0.9504
Pb2 0.5000 0.5000 0.2924

Computed properties:
SG   Cmm2
V   95 Å³ per cell


two:
VASP calculation (PBE) on a relaxed structure of TaMoPb2.

Lattice parameters (Å, degrees): 9.4325 9.4325 9.4325 19.74 19.74 19.74
Positions (direct):
Ta1 0.2500 0.2500 0.2500
Mo1 0.7500 0.7500 0.7500
Pb1 0.0032 0.0032 0.0032
Pb2 0.4968 0.4968 0.4968

Computed properties:
SG   R-3m
V   84 Å³ per cell


three:
VASP calculation (PBE) on a relaxed structure of TaMoPb2.

Lattice parameters (Å, degrees): 3.4261 3.4261 6.9859 90.00 90.00 90.00
Positions (direct):
Pb1 0.0000 0.0000 0.5111
Mo1 0.5000 0.5000 0.7500
Pb2 0.0000 0.0000 0.9889
Ta1 0.5000 0.5000 0.2500

Computed properties:
SG   P4/mmm
V   82 Å³ per cell


Which one is most stable, and which one is least stable? one is the most stable of them, while three is the least stable.


one:
VASP calculation (PBE) on a relaxed structure of TaMoPb2.

Lattice parameters (Å, degrees): 4.6288 3.1621 5.8470 81.14 90.00 90.00
Positions (direct):
Pb1 0.0000 0.5204 0.5041
Mo1 0.5000 0.7500 0.7500
Ta1 0.5000 0.2500 0.2500
Pb2 0.0000 0.9796 0.9959

Computed properties:
SG   P2/m
V   85 Å³ per cell


two:
VASP calculation (PBE) on a relaxed structure of TaMoPb2.

Lattice parameters (Å, degrees): 6.4546 6.4546 7.8776 65.82 65.82 90.00
Site moments in Bohr magnetons follow the coordinates.
Positions (direct):
Pb1 0.8750 0.8779 0.7500  -0.08
Mo1 0.2500 0.7500 0.5000  2.47
Pb2 0.6279 0.1250 0.2500  -0.08
Mo2 0.5000 0.5000 0.0000  2.46
Pb3 0.1221 0.6250 0.2500  -0.08
Pb4 0.3750 0.3721 0.7500  -0.07
Ta1 0.7500 0.2500 0.5000  0.23
Ta2 0.0000 0.0000 0.0000  0.24

Computed properties:
SG   I-42d
V   267 Å³ per cell


Which one is most stable, and which one is least stable? one is the most stable of them, while two is the least stable.


one:
VASP calculation (PBE) on a relaxed structure of TaMoPb2.

Lattice parameters (Å, degrees): 9.8235 9.8235 9.8235 19.50 19.50 19.50
Positions (direct):
Pb1 0.0107 0.0107 0.0107
Mo1 0.7595 0.7595 0.7595
Pb2 0.2422 0.2422 0.2422
Ta1 0.4876 0.4876 0.4876

Computed properties:
SG   R3m
V   92 Å³ per cell


two:
VASP calculation (PBE) on a relaxed structure of TaMoPb2.

Lattice parameters (Å, degrees): 5.6747 5.6747 5.6747 144.77 125.50 66.57
Positions (direct):
Mo1 0.2500 0.7500 0.5000
Pb1 0.0082 0.0082 0.0000
Pb2 0.4918 0.4918 0.0000
Ta1 0.7500 0.2500 0.5000

Computed properties:
SG   Immm
V   85 Å³ per cell


Which one is most stable, and which one is least stable? one is the most stable of them, while two is the least stable.


one:
VASP calculation (PBE) on a relaxed structure of TaMo3Pb.

Lattice parameters (Å, degrees): 4.9001 4.9001 4.9001 90.00 90.00 90.00
Positions (direct):
Mo1 0.0000 0.0000 0.5000
Mo2 0.0000 0.5000 0.0000
Ta1 0.5000 0.5000 0.5000
Pb1 0.0000 0.0000 0.0000
Mo3 0.5000 0.0000 0.0000

Computed properties:
SG   Pm-3m
V   118 Å³ per cell


two:
VASP calculation (PBE) on a relaxed structure of TaMo3Pb.

Lattice parameters (Å, degrees): 4.8464 4.8464 4.8464 90.00 90.00 90.00
Site moments in Bohr magnetons follow the coordinates.
Positions (direct):
Mo1 0.0000 0.5000 0.0000  0.32
Pb1 0.5000 0.5000 0.5000  0.01
Mo2 0.0000 0.0000 0.5000  0.36
Ta1 0.0000 0.0000 0.0000  -0.02
Mo3 0.5000 0.0000 0.0000  0.66

Computed properties:
SG   Pm-3m
V   114 Å³ per cell


Which one is most stable, and which one is least stable? two is the most stable of them, while one is the least stable.


one:
VASP calculation (PBE) on a relaxed structure of Ta3MoPb.

Lattice parameters (Å, degrees): 5.0172 5.0172 5.0172 90.00 90.00 90.00
Positions (direct):
Pb1 0.0000 0.0000 0.0000
Ta1 0.0000 0.0000 0.5000
Ta2 0.5000 0.0000 0.0000
Mo1 0.5000 0.5000 0.5000
Ta3 0.0000 0.5000 0.0000

Computed properties:
SG   Pm-3m
V   126 Å³ per cell


two:
VASP calculation (PBE) on a relaxed structure of Ta3MoPb.

Lattice parameters (Å, degrees): 4.8900 4.8900 4.8900 90.00 90.00 90.00
Positions (direct):
Ta1 0.0000 0.0000 0.5000
Ta2 0.5000 0.0000 0.0000
Mo1 0.0000 0.0000 0.0000
Ta3 0.0000 0.5000 0.0000
Pb1 0.5000 0.5000 0.5000

Computed properties:
SG   Pm-3m
V   117 Å³ per cell


Which one is most stable, and which one is least stable? two is the most stable of them, while one is the least stable.


one:
VASP calculation (PBE) on a relaxed structure of TcMoPb2.

Lattice parameters (Å, degrees): 6.5049 6.5049 6.5049 151.11 136.00 53.49
Positions (direct):
Pb1 0.0117 0.0117 0.0000
Pb2 0.7308 0.2308 0.5000
Mo1 0.3035 0.8035 0.5000
Tc1 0.4541 0.4541 0.0000

Computed properties:
SG   Imm2
V   92 Å³ per cell


two:
VASP calculation (PBE) on a relaxed structure of TcMoPb2.

Lattice parameters (Å, degrees): 5.4611 5.4611 5.4611 135.14 135.14 65.32
Site moments in Bohr magnetons follow the coordinates.
Positions (direct):
Tc1 0.5000 0.5000 0.0000  -0.06
Pb1 0.2500 0.7500 0.5000  0.00
Pb2 0.0000 0.0000 0.0000  0.00
Mo1 0.7500 0.2500 0.5000  0.73

Computed properties:
SG   I-4m2
V   80 Å³ per cell


Which one is most stable, and which one is least stable? one is the most stable of them, while two is the least stable.


one:
VASP calculation (PBE) on a relaxed structure of TcMoPb2.

Lattice parameters (Å, degrees): 10.7829 10.7829 10.7829 17.02 17.02 17.02
Positions (direct):
Mo1 0.7658 0.7658 0.7658
Pb1 0.2330 0.2330 0.2330
Tc1 0.4849 0.4849 0.4849
Pb2 0.0163 0.0163 0.0163

Computed properties:
SG   R3m
V   94 Å³ per cell


two:
VASP calculation (PBE) on a relaxed structure of TcMoPb2.

Lattice parameters (Å, degrees): 7.7865 7.7865 6.2529 51.49 51.49 90.00
Site moments in Bohr magnetons follow the coordinates.
Positions (direct):
Mo1 0.5000 0.5000 0.0000  1.82
Tc1 0.0000 0.0000 0.0000  -1.55
Pb1 0.8750 0.8830 0.7500  -0.01
Pb2 0.6330 0.1250 0.2500  -0.01
Tc2 0.7500 0.2500 0.5000  -1.55
Mo2 0.2500 0.7500 0.5000  1.82
Pb3 0.1170 0.6250 0.2500  -0.01
Pb4 0.3750 0.3670 0.7500  -0.01

Computed properties:
SG   I-42d
V   180 Å³ per cell


Which one is most stable, and which one is least stable? one is the most stable of them, while two is the least stable.


one:
VASP calculation (PBE) on a relaxed structure of TcMoPb2.

Lattice parameters (Å, degrees): 4.8032 4.8032 3.3844 90.00 90.00 89.99
Site moments in Bohr magnetons follow the coordinates.
Positions (direct):
Mo1 0.0000 0.5000 0.5000  0.65
Tc1 0.5000 0.0000 0.5000  0.85
Pb1 0.0000 0.0000 0.0000  -0.02
Pb2 0.5000 0.5000 0.0000  -0.02

Computed properties:
SG   P4/mmm
V   78 Å³ per cell


two:
VASP calculation (PBE) on a relaxed structure of TcMoPb2.

Lattice parameters (Å, degrees): 3.1684 3.1684 9.0382 90.00 90.00 116.31
Positions (direct):
Pb1 0.0000 0.0000 0.4948
Tc1 0.5000 0.5000 0.2500
Mo1 0.5000 0.5000 0.7500
Pb2 0.0000 0.0000 0.0052

Computed properties:
SG   Cmmm
V   81 Å³ per cell


Which one is most stable, and which one is least stable? one is the most stable of them, while two is the least stable.


one:
VASP calculation (PBE) on a relaxed structure of TcMoPb3.

Lattice parameters (Å, degrees): 5.3173 5.3173 5.3173 90.00 90.00 90.00
Site moments in Bohr magnetons follow the coordinates.
Positions (direct):
Mo1 0.5000 0.5000 0.5000  3.72
Pb1 0.0000 0.5000 0.0000  -0.02
Pb2 0.0000 0.0000 0.5000  -0.02
Tc1 0.0000 0.0000 0.0000  0.47
Pb3 0.5000 0.0000 0.0000  -0.01

Computed properties:
SG   Pm-3m
V   150 Å³ per cell


two:
VASP calculation (PBE) on a relaxed structure of TcMoPb3.

Lattice parameters (Å, degrees): 5.3749 5.3749 5.3749 90.00 90.00 90.00
Site moments in Bohr magnetons follow the coordinates.
Positions (direct):
Mo1 0.0000 0.0000 0.0000  0.73
Pb1 0.0000 0.0000 0.5000  -0.01
Pb2 0.5000 0.0000 0.0000  -0.02
Pb3 0.0000 0.5000 0.0000  -0.02
Tc1 0.5000 0.5000 0.5000  3.59

Computed properties:
SG   Pm-3m
V   155 Å³ per cell


Which one is most stable, and which one is least stable? one is the most stable of them, while two is the least stable.